Compound: CdIrOs2
Source: Alexandria
Functional: meta-GGA SCAN
Structure: PBEsol geometry

The density comes out at 19.046 Mg/m³. The energy of formation from the pure elements is 2.402 eV/f.u.

The structure belongs to space group I-4m2 (No. 119); the cell edges are 3.8933, 3.8933 and 7.8810 Å and the angles 90.00°, 90.00° and 90.00°. Symmetry generates all atoms from Cd at (0.0000, 0.0000, 0.0000), Ir at (0.0000, 0.5000, 0.2500), Os at (0.0000, 0.0000, 0.5000) and Os at (0.0000, 0.5000, 0.7500).